Density functional theory data (GGA-PBE) for a geometry-optimized TbNiAu structure.

CIF file:
```
data_TbNiAu
_chemical_formula_sum 'Tb2 Ni2 Au2'
_cell_length_a 3.581
_cell_length_b 3.581
_cell_length_c 8.969
_cell_angle_alpha 90.00
_cell_angle_beta 90.00
_cell_angle_gamma 90.00
_symmetry_space_group_name_H-M 'I 4 m m'
_symmetry_Int_Tables_number 107
_symmetry_space_group_name_Hall 'I 4 -2'
loop_
_atom_site_label
_atom_site_fract_x
_atom_site_fract_y
_atom_site_fract_z
_atom_site_occupancy
Tb1 0.000 0.000 0.000 1
Ni1 0.000 0.000 0.661 1
Au1 0.000 0.000 0.323 1
```

Summary:
The raw total energy comes out at -5.038 eV/atom. The value obtained for the total magnetization is 0.00 μB per cell. The calculated density is 11.971 Mg/m³.

---

Density functional theory data (GGA-PBE) for a geometry-optimized CdP2O structure.

CIF file:
```
data_CdP2O
_chemical_formula_sum 'Cd4 P8 O4'
_cell_length_a 6.223
_cell_length_b 6.223
_cell_length_c 6.223
_cell_angle_alpha 90.00
_cell_angle_beta 90.00
_cell_angle_gamma 90.00
_symmetry_space_group_name_H-M 'F m -3 m'
_symmetry_Int_Tables_number 225
_symmetry_space_group_name_Hall '-F 4 2 3'
loop_
_atom_site_label
_atom_site_fract_x
_atom_site_fract_y
_atom_site_fract_z
_atom_site_occupancy
Cd1 0.000 0.000 0.000 1
P1 0.250 0.250 0.250 1
O1 0.000 0.000 0.500 1
```

Summary:
The relative energy among the computed polymorphs is 705 meV/atom. The value obtained for the uncorrected formation energy is 0.77 eV per atom. The value obtained for the total magnetization is 0.00 μB per cell. The calculated density is 5.246 Mg/m³.

---

Density functional theory data (GGA-PBE) for a geometry-optimized K5Rb8Hg structure.

CIF file:
```
data_K5Rb8Hg
_chemical_formula_sum 'K10 Rb16 Hg2'
_cell_length_a 13.450
_cell_length_b 13.450
_cell_length_c 12.109
_cell_angle_alpha 90.00
_cell_angle_beta 90.00
_cell_angle_gamma 90.00
_symmetry_space_group_name_H-M 'I -4'
_symmetry_Int_Tables_number 82
loop_
_symmetry_equiv_pos_as_xyz
'x,y,z'
'y,-x,-z'
'-x,-y,z'
'-y,x,-z'
'x+1/2,y+1/2,z+1/2'
'y+1/2,-x+1/2,-z+1/2'
'-x+1/2,-y+1/2,z+1/2'
'-y+1/2,x+1/2,-z+1/2'
loop_
_atom_site_label
_atom_site_fract_x
_atom_site_fract_y
_atom_site_fract_z
_atom_site_occupancy
K1 0.000 0.000 0.000 1
K2 0.073 0.842 0.361 1
Rb1 0.040 0.655 0.050 1
Rb2 0.133 0.737 0.704 1
Hg1 0.000 0.500 0.750 1
```

Summary:
The raw total energy comes out at -0.968 eV/atom. The value obtained for the total magnetization is 0.00 μB per cell. The calculated density is 1.637 Mg/m³.

---

Density functional theory data (GGA-PBE) for a geometry-optimized Ti2FeW structure.

CIF file:
```
data_Ti2FeW
_chemical_formula_sum 'Ti8 Fe4 W4'
_cell_length_a 6.847
_cell_length_b 6.847
_cell_length_c 5.244
_cell_angle_alpha 90.00
_cell_angle_beta 90.00
_cell_angle_gamma 90.00
_symmetry_space_group_name_H-M 'I -4 2 d'
_symmetry_Int_Tables_number 122
_symmetry_space_group_name_Hall 'I -4 2bw'
loop_
_atom_site_label
_atom_site_fract_x
_atom_site_fract_y
_atom_site_fract_z
_atom_site_occupancy
Ti1 0.214 0.250 0.125 1
Fe1 0.000 0.000 0.000 1
W1 0.000 0.000 0.500 1
```

Summary:
The raw total energy comes out at -8.916 eV/atom. The value obtained for the total magnetization is 0.00 μB per cell. The calculated density is 9.062 Mg/m³.

---

Density functional theory data (GGA-PBE) for a geometry-optimized Pu8P5Se3 structure.

CIF file:
```
data_Pu8P5Se3
_chemical_formula_sum 'Pu24 P15 Se9'
_cell_length_a 8.0921
_cell_length_b 8.0921
_cell_length_c 19.8864
_cell_angle_alpha 90.00
_cell_angle_beta 90.00
_cell_angle_gamma 120.00
_symmetry_space_group_name_H-M 'R -3 m'
_symmetry_Int_Tables_number 166
_symmetry_space_group_name_Hall '-R 3 2"'
loop_
_atom_site_label
_atom_site_fract_x
_atom_site_fract_y
_atom_site_fract_z
_atom_site_occupancy
Pu1 0.0000 0.0000 0.2454 1
Pu2 0.0063 0.5031 0.7531 1
P1 0.0000 0.0000 0.0000 1
P2 0.0000 0.0000 0.5000 1
P3 0.0000 0.5000 0.5000 1
Se1 0.0000 0.5000 0.0000 1
```

Summary:
The value obtained for the uncorrected formation energy is -1.28 eV per atom. The value obtained for the total magnetization is 60.42 μB per cell. The calculated density is 10.353 Mg/m³.

---

Density functional theory data (GGA-PBE) for a geometry-optimized Er6US8 structure.

CIF file:
```
data_Er6US8
_chemical_formula_sum 'Er24 U4 S32'
_cell_length_a 10.920
_cell_length_b 10.920
_cell_length_c 10.920
_cell_angle_alpha 90.00
_cell_angle_beta 90.00
_cell_angle_gamma 90.00
_symmetry_space_group_name_H-M 'F m -3 m'
_symmetry_Int_Tables_number 225
_symmetry_space_group_name_Hall '-F 4 2 3'
loop_
_atom_site_label
_atom_site_fract_x
_atom_site_fract_y
_atom_site_fract_z
_atom_site_occupancy
Er1 0.000 0.250 0.250 1
U1 0.000 0.000 0.000 1
S1 0.000 0.000 0.254 1
S2 0.250 0.250 0.250 1
```

Summary:
The value obtained for the uncorrected formation energy is -1.89 eV per atom. The value obtained for the total magnetization is 14.67 μB per cell. The calculated density is 7.641 Mg/m³.

---

Density functional theory data (GGA-PBE) for a geometry-optimized InGaHg2H structure.

CIF file:
```
data_InGaHg2H
_chemical_formula_sum 'In1 Ga1 Hg2 H1'
_cell_length_a 5.590
_cell_length_b 5.590
_cell_length_c 3.466
_cell_angle_alpha 90.00
_cell_angle_beta 90.00
_cell_angle_gamma 90.00
_symmetry_space_group_name_H-M 'P 4/m m m'
_symmetry_Int_Tables_number 123
_symmetry_space_group_name_Hall '-P 4 2'
loop_
_atom_site_label
_atom_site_fract_x
_atom_site_fract_y
_atom_site_fract_z
_atom_site_occupancy
In1 0.000 0.000 0.000 1
Ga1 0.500 0.500 0.500 1
Hg1 0.000 0.500 0.500 1
H1 0.500 0.500 0.000 1
```

Summary:
The raw total energy comes out at -1.809 eV/atom. The value obtained for the total magnetization is 0.00 μB per cell. The calculated density is 8.996 Mg/m³.

---

Density functional theory data (GGA-PBE) for a geometry-optimized Ba2CaSb structure.

CIF file:
```
data_Ba2CaSb
_chemical_formula_sum 'Ba2 Ca1 Sb1'
_cell_length_a 5.293
_cell_length_b 4.933
_cell_length_c 7.565
_cell_angle_alpha 90.00
_cell_angle_beta 110.46
_cell_angle_gamma 90.00
_symmetry_space_group_name_H-M 'P 1 m 1'
_symmetry_Int_Tables_number 6
loop_
_symmetry_equiv_pos_as_xyz
'x,y,z'
'x,-y,z'
loop_
_atom_site_label
_atom_site_fract_x
_atom_site_fract_y
_atom_site_fract_z
_atom_site_occupancy
Ba1 0.000 0.000 0.000 1
Ba2 0.303 0.500 0.606 1
Ca1 0.697 0.000 0.394 1
Sb1 0.560 0.500 0.121 1
```

Summary:
The value obtained for the uncorrected formation energy is -0.57 eV per atom. The value obtained for the total magnetization is 0.92 μB per cell. The calculated density is 3.916 Mg/m³.

---

Density functional theory data (GGA-PBE) for a geometry-optimized La4NiAuCl2 structure.

CIF file:
```
data_La4NiAuCl2
_chemical_formula_sum 'La4 Ni1 Au1 Cl2'
_cell_length_a 7.437
_cell_length_b 4.246
_cell_length_c 7.531
_cell_angle_alpha 90.00
_cell_angle_beta 108.71
_cell_angle_gamma 90.00
_symmetry_space_group_name_H-M 'P 1 2/m 1'
_symmetry_Int_Tables_number 10
loop_
_symmetry_equiv_pos_as_xyz
'x,y,z'
'-x,-y,-z'
'-x,y,-z'
'x,-y,z'
loop_
_atom_site_label
_atom_site_fract_x
_atom_site_fract_y
_atom_site_fract_z
_atom_site_occupancy
La1 0.230 0.000 0.227 1
La2 0.235 0.500 0.761 1
Ni1 0.000 0.500 0.000 1
Au1 0.500 0.000 0.000 1
Cl1 0.000 0.000 0.500 1
Cl2 0.500 0.500 0.500 1
```

Summary:
The value obtained for the uncorrected formation energy is -1.05 eV per atom. The value obtained for the total magnetization is 0.00 μB per cell. The calculated density is 6.503 Mg/m³.

---

Density functional theory data (GGA-PBE) for a geometry-optimized Ac2Mg12Zn7 structure.

CIF file:
```
data_Ac2Mg12Zn7
_chemical_formula_sum 'Ac2 Mg12 Zn7'
_cell_length_a 11.2862
_cell_length_b 11.2862
_cell_length_c 4.2754
_cell_angle_alpha 90.00
_cell_angle_beta 90.00
_cell_angle_gamma 120.00
_symmetry_space_group_name_H-M 'P -6'
_symmetry_Int_Tables_number 174
loop_
_symmetry_equiv_pos_as_xyz
'x,y,z'
'-x+y,-x,-z'
'-y,x-y,z'
'x,y,-z'
'-x+y,-x,z'
'-y,x-y,-z'
loop_
_atom_site_label
_atom_site_fract_x
_atom_site_fract_y
_atom_site_fract_z
_atom_site_occupancy
Ac1 0.0000 0.0000 0.0000 1
Ac2 0.3333 0.6667 0.5000 1
Mg1 0.0506 0.7628 0.5000 1
Mg2 0.0970 0.3821 0.0000 1
Mg3 0.3889 0.2139 0.0000 1
Mg4 0.5377 0.1073 0.5000 1
Zn1 0.0795 0.6175 0.0000 1
Zn2 0.2482 0.0413 0.5000 1
Zn3 0.6667 0.3333 0.0000 1
```

Summary:
The raw total energy comes out at -1.878 eV/atom. The value obtained for the total magnetization is 0.00 μB per cell. The calculated density is 4.237 Mg/m³.